# 1
DFT (PBE-GGA) results for an optimized crystal structure of YC2O. Values from VASP.

Computed properties:
Space group: I-42d, No. 122

Structure (Quantum ESPRESSO input):
```
&SYSTEM
  ibrav = 0, nat = 8, ntyp = 3
/
ATOMIC_SPECIES
C 12.01 C.upf
O 16.00 O.upf
Y 88.91 Y.upf
CELL_PARAMETERS angstrom
5.553 0.000 0.000
0.000 5.553 0.000
2.776 2.776 3.076
ATOMIC_POSITIONS crystal
C 0.875 0.774 0.750
O 0.250 0.750 0.500
C 0.375 0.476 0.750
Y 0.750 0.250 0.500
C 0.226 0.625 0.250
O 0.500 0.500 0.000
Y 0.000 0.000 0.000
C 0.524 0.125 0.250
```

***

# 2
DFT (PBE-GGA) results for an optimized crystal structure of YCO3. Values from VASP.

Computed properties:
Space group: Pm-3m, No. 221

Structure (Quantum ESPRESSO input):
```
&SYSTEM
  ibrav = 0, nat = 5, ntyp = 3
/
ATOMIC_SPECIES
O 16.00 O.upf
Y 88.91 Y.upf
C 12.01 C.upf
CELL_PARAMETERS angstrom
4.338 0.000 0.000
0.000 4.338 0.000
0.000 0.000 4.338
ATOMIC_POSITIONS crystal
O 0.000 0.000 0.500
O 0.500 0.000 0.000
O 0.000 0.500 0.000
Y 0.000 0.000 0.000
C 0.500 0.500 0.500
```

***

# 3
DFT (PBE-GGA) results for an optimized crystal structure of YCO3. Values from VASP.

Computed properties:
Space group: Pm-3m, No. 221

Structure (Quantum ESPRESSO input):
```
&SYSTEM
  ibrav = 0, nat = 5, ntyp = 3
/
ATOMIC_SPECIES
C 12.01 C.upf
O 16.00 O.upf
Y 88.91 Y.upf
CELL_PARAMETERS angstrom
-0.159 3.152 1.597
-2.103 1.201 -2.578
-2.840 -1.066 1.820
ATOMIC_POSITIONS crystal
C 0.000 0.000 0.000
O 0.000 0.500 0.000
Y 0.500 0.500 0.500
O 0.000 0.000 0.500
O 0.500 0.000 0.000
```

***

# 4
DFT (PBE-GGA) results for an optimized crystal structure of YCO4. Values from VASP.

Computed properties:
Space group: P2_12_12_1, No. 19

Structure (Quantum ESPRESSO input):
```
&SYSTEM
  ibrav = 0, nat = 24, ntyp = 3
/
ATOMIC_SPECIES
O 16.00 O.upf
Y 88.91 Y.upf
C 12.01 C.upf
CELL_PARAMETERS angstrom
-2.863 -2.186 -3.211
-2.395 -4.484 5.188
-6.606 5.786 1.951
ATOMIC_POSITIONS crystal
O 0.454 0.432 0.232
O 0.527 0.334 0.644
O 0.046 0.568 0.732
O 0.546 0.932 0.268
Y 0.032 0.860 0.331
C 0.982 0.461 0.840
O 0.718 0.435 0.869
O 0.973 0.666 0.144
O 0.339 0.621 0.424
O 0.661 0.121 0.076
O 0.782 0.565 0.369
Y 0.468 0.140 0.831
C 0.018 0.961 0.660
Y 0.532 0.640 0.669
O 0.027 0.166 0.356
O 0.839 0.879 0.576
Y 0.968 0.360 0.169
O 0.161 0.379 0.924
O 0.473 0.834 0.856
C 0.518 0.539 0.340
O 0.282 0.935 0.631
O 0.218 0.065 0.131
O 0.954 0.068 0.768
C 0.482 0.039 0.160
```

***

# 5
DFT (PBE-GGA) results for an optimized crystal structure of Y6CO12. Values from VASP.

Computed properties:
Space group: R-3, No. 148

Structure (Quantum ESPRESSO input):
```
&SYSTEM
  ibrav = 0, nat = 19, ntyp = 3
/
ATOMIC_SPECIES
O 16.00 O.upf
Y 88.91 Y.upf
C 12.01 C.upf
CELL_PARAMETERS angstrom
-2.155 -5.590 -2.192
2.407 -1.996 5.560
-5.512 2.402 2.131
ATOMIC_POSITIONS crystal
O 0.560 0.402 0.824
Y 0.858 0.395 0.698
Y 0.142 0.605 0.302
O 0.402 0.824 0.560
C 0.000 0.000 0.000
O 0.978 0.263 0.063
O 0.598 0.176 0.440
O 0.063 0.978 0.263
Y 0.605 0.302 0.142
Y 0.302 0.142 0.605
O 0.737 0.937 0.022
O 0.263 0.063 0.978
O 0.937 0.022 0.737
Y 0.395 0.698 0.858
O 0.022 0.737 0.937
O 0.440 0.598 0.176
O 0.824 0.560 0.402
O 0.176 0.440 0.598
Y 0.698 0.858 0.395
```

***

# 6
DFT (PBE-GGA) results for an optimized crystal structure of Y4CO4. Values from VASP.

Computed properties:
Space group: I-42m, No. 121

Structure (Quantum ESPRESSO input):
```
&SYSTEM
  ibrav = 0, nat = 9, ntyp = 3
/
ATOMIC_SPECIES
Y 88.91 Y.upf
O 16.00 O.upf
C 12.01 C.upf
CELL_PARAMETERS angstrom
-2.235 4.499 2.581
-1.689 2.027 -4.994
-2.445 -5.732 1.695
ATOMIC_POSITIONS crystal
Y 0.337 0.896 0.233
Y 0.896 0.337 0.233
Y 0.663 0.663 0.767
O 0.500 0.000 0.000
O 0.284 0.284 0.567
Y 0.104 0.104 0.767
O 0.000 0.500 0.000
O 0.716 0.716 0.433
C 0.000 0.000 0.000
```

***

Going through the records in order, we get total energy values of -0.227 -0.211 -0.262 -0.291 -0.301 -0.306 Ha/atom.